# 1
The following is a PBE-GGA calculation of an optimized crystal structure of AlInGa, from Alexandria.

The structure in extended XYZ format:
```
3
Lattice="0.000 3.266 3.266 3.266 0.000 3.266 3.266 3.266 0.000" Properties=species:S:1:pos:R:3 pbc="T T T"
Al 0.000 0.000 0.000
In 4.898 4.898 4.898
Ga 1.633 1.633 1.633
```

Output
- SG: F-43m
- Formation energy: 0.1195 eV per atom
- ΔE to the lowest computed polymorph: 0.069 eV/atom
- ρ: 5.04 g/cm³
- DOS(E_F): 2.1 states/eV per cell
- Energy: -3.05 eV per atom

# 2
The following is a PBE-GGA calculation of an optimized crystal structure of Al2InGa, from Alexandria.

The structure in extended XYZ format:
```
4
Lattice="4.282 0.000 0.000 0.000 4.282 0.000 0.000 0.000 4.267" Properties=species:S:1:pos:R:3 pbc="T T T"
Al 0.000 2.141 0.000
Al 2.141 0.000 0.000
In 0.000 0.000 2.133
Ga 2.141 2.141 2.133
```

Output
- SG: P4/mmm
- Formation energy: 0.1255 eV per atom
- ΔE to the lowest computed polymorph: 0.000 eV/atom
- ρ: 5.06 g/cm³
- DOS(E_F): 1.6 states/eV per cell
- Energy: -3.19 eV per atom

# 3
The following is a PBE-GGA calculation of an optimized crystal structure of Al2InGa, from Alexandria.

The structure in extended XYZ format:
```
4
Lattice="2.157 1.245 5.370 -2.157 1.245 5.370 0.000 -2.491 5.370" Properties=species:S:1:pos:R:3 pbc="T T T"
Al 0.000 0.000 0.000
Al 0.000 0.000 3.260
In 0.000 0.000 6.909
Ga 0.000 0.000 9.799
```

Output
- SG: R3m
- Formation energy: 0.1543 eV per atom
- ΔE to the lowest computed polymorph: 0.029 eV/atom
- ρ: 4.58 g/cm³
- DOS(E_F): 1.3 states/eV per cell
- Energy: -3.16 eV per atom

# 4
The following is a PBE-GGA calculation of an optimized crystal structure of Al2InGa, from Alexandria.

The structure in extended XYZ format:
```
4
Lattice="3.555 0.000 0.000 0.000 3.555 0.000 0.000 0.000 6.345" Properties=species:S:1:pos:R:3 pbc="T T T"
Al 0.000 0.000 1.374
Al 0.000 0.000 4.971
In 1.778 1.778 3.173
Ga 1.778 1.778 0.000
```

Output
- SG: P4/mmm
- Formation energy: 0.1354 eV per atom
- ΔE to the lowest computed polymorph: 0.010 eV/atom
- ρ: 4.94 g/cm³
- DOS(E_F): 1.1 states/eV per cell
- Energy: -3.18 eV per atom

# 5
The following is a PBE-GGA calculation of an optimized crystal structure of AlInGa5, from Alexandria.

The structure in extended XYZ format:
```
7
Lattice="4.053 0.000 0.000 0.000 4.053 0.000 0.000 0.000 8.729" Properties=species:S:1:pos:R:3 pbc="T T T"
Al 0.000 0.000 0.000
In 2.027 2.027 4.364
Ga 0.000 2.027 2.111
Ga 0.000 2.027 6.618
Ga 2.027 0.000 2.111
Ga 2.027 0.000 6.618
Ga 2.027 2.027 0.000
```

Output
- SG: P4/mmm
- Formation energy: 0.0502 eV per atom
- ρ: 5.68 g/cm³
- DOS(E_F): 3.5 states/eV per cell
- Energy: -3.04 eV per atom

# 6
The following is a PBE-GGA calculation of an optimized crystal structure of AlIn2Ga, from Alexandria.

The structure in extended XYZ format:
```
4
Lattice="1.556 0.899 11.057 -1.556 0.899 11.057 0.000 -1.797 11.057" Properties=species:S:1:pos:R:3 pbc="T T T"
Al 0.000 0.000 0.000
In 0.000 0.000 2.895
In 0.000 0.000 30.277
Ga 0.000 0.000 16.586
```

Output
- SG: R-3m
- Formation energy: 0.1591 eV per atom
- ΔE to the lowest computed polymorph: 0.040 eV/atom
- ρ: 5.84 g/cm³
- DOS(E_F): 1.9 states/eV per cell
- Energy: -2.90 eV per atom

# 7
The following is a PBE-GGA calculation of an optimized crystal structure of AlInGa4, from Alexandria.

The structure in extended XYZ format:
```
6
Lattice="3.429 -2.381 0.000 3.429 2.381 0.000 -1.148 0.000 7.592" Properties=species:S:1:pos:R:3 pbc="T T T"
Al 0.000 0.000 0.000
In -0.574 0.000 3.796
Ga 1.882 0.000 2.102
Ga 1.360 0.000 6.465
Ga 4.349 0.000 1.126
Ga 3.828 0.000 5.490
```

Output
- SG: C2/m
- Formation energy: 0.0539 eV per atom
- ΔE to the lowest computed polymorph: 0.000 eV/atom
- ρ: 5.64 g/cm³
- DOS(E_F): 1.4 states/eV per cell
- Energy: -3.04 eV per atom

# 8
The following is a PBE-GGA calculation of an optimized crystal structure of AlInGa, from Alexandria.

The structure in extended XYZ format:
```
3
Lattice="4.804 0.000 0.000 -2.402 4.161 0.000 0.000 0.000 3.203" Properties=species:S:1:pos:R:3 pbc="T T T"
Al 0.000 0.000 0.000
In 0.000 2.774 1.594
Ga 2.402 1.387 3.187
```

Output
- SG: P3m1
- Formation energy: 0.1234 eV per atom
- ΔE to the lowest computed polymorph: 0.073 eV/atom
- ρ: 5.49 g/cm³
- DOS(E_F): 0.9 states/eV per cell
- Energy: -3.05 eV per atom

# 9
The following is a PBE-GGA calculation of an optimized crystal structure of AlIn2Ga9, from Alexandria.

The structure in extended XYZ format:
```
12
Lattice="4.261 0.000 0.000 0.000 4.261 0.000 0.000 0.000 13.044" Properties=species:S:1:pos:R:3 pbc="T T T"
Al 0.000 0.000 0.000
In 0.000 0.000 4.275
In 0.000 0.000 8.770
Ga 0.000 2.131 1.970
Ga 0.000 2.131 6.522
Ga 0.000 2.131 11.075
Ga 2.131 0.000 1.970
Ga 2.131 0.000 6.522
Ga 2.131 0.000 11.075
Ga 2.131 2.131 0.000
Ga 2.131 2.131 4.223
Ga 2.131 2.131 8.821
```

Output
- SG: P4/mmm
- Formation energy: 0.0503 eV per atom
- ρ: 6.20 g/cm³
- DOS(E_F): 5.6 states/eV per cell
- Energy: -2.99 eV per atom

# 10
The following is a PBE-GGA calculation of an optimized crystal structure of AlInGa, from Alexandria.

The structure in extended XYZ format:
```
3
Lattice="-1.618 1.618 5.954 1.618 -1.618 5.954 1.618 1.618 -5.954" Properties=species:S:1:pos:R:3 pbc="T T T"
Al 0.000 0.000 0.000
In 0.000 0.000 3.809
Ga 0.000 0.000 7.587
```

Output
- SG: I4mm
- Formation energy: 0.0965 eV per atom
- ΔE to the lowest computed polymorph: 0.046 eV/atom
- ρ: 5.63 g/cm³
- DOS(E_F): 1.3 states/eV per cell
- Energy: -3.07 eV per atom

# 11
The following is a PBE-GGA calculation of an optimized crystal structure of La2Al3InGa4, from Alexandria.

The structure in extended XYZ format:
```
10
Lattice="4.432 0.000 0.000 0.000 4.432 0.000 0.000 0.000 11.050" Properties=species:S:1:pos:R:3 pbc="T T T"
La 0.000 2.216 2.638
La 2.216 0.000 8.412
Al 0.000 2.216 9.666
Al 2.216 0.000 1.384
Al 2.216 2.216 5.525
In 0.000 0.000 5.525
Ga 0.000 0.000 0.000
Ga 0.000 2.216 7.150
Ga 2.216 0.000 3.900
Ga 2.216 2.216 0.000
```

Output
- SG: P-4m2
- Formation energy: -0.4194 eV per atom
- ρ: 5.76 g/cm³
- DOS(E_F): 4.0 states/eV per cell
- Energy: -4.01 eV per atom

# 12
The following is a PBE-GGA calculation of an optimized crystal structure of LiAlInGa, from Alexandria.

The structure in extended XYZ format:
```
4
Lattice="0.000 3.371 3.371 3.371 0.000 3.371 3.371 3.371 0.000" Properties=species:S:1:pos:R:3 pbc="T T T"
Li 0.000 0.000 0.000
Al 3.371 3.371 3.371
In 5.057 5.057 5.057
Ga 1.686 1.686 1.686
```

Output
- SG: F-43m
- Formation energy: -0.0790 eV per atom
- ρ: 4.73 g/cm³
- DOS(E_F): 1.1 states/eV per cell
- Energy: -2.93 eV per atom